A geometry-optimized HfNbN2 structure, computed with PBE.

Cell and atoms, written as POSCAR:
```
HfNbN2
1.0
4.842 0.000 0.000
0.000 4.842 0.000
2.421 2.421 4.862
N Hf Nb
4 2 2
Cartesian
1.228 3.631 1.215
3.631 3.649 3.646
6.052 6.034 3.646
3.614 1.210 1.215
4.842 2.421 2.431
0.000 0.000 0.000
2.421 2.421 0.000
2.421 4.842 2.431
```

For the density, the calculation gives 8.7 g/cm3. Its crystal system is tetragonal. Its uncorrected formation energy is -1.0619 eV/atom. Its total moment is 0.000 μB per atom.